Here is a relaxed structure of AlSb2 from Alexandria. Energies are from PBE.

The space group is Cm (No. 8) and the conventional cell measures 11.958, 4.418 and 7.215 Å, with angles of 90.00, 106.19 and 90.00 degrees. Symmetry generates all atoms from Al at (0.000, 0.000, 0.000), Al at (0.220, 0.000, 0.681), Sb at (0.121, 0.500, 0.170), Sb at (0.265, 0.500, 0.908), Sb at (0.342, 0.000, 0.416) and Sb at (0.486, 0.500, 0.614).

As for the formation energy (no corrections): 0.004 eV/atom. The energy comes out at -47.9 eV/cell.


Here is a relaxed structure of AlSb2 from Alexandria. Energies are from PBE.

The space group is P6_3/mmc (No. 194) and the conventional cell measures 6.1169, 6.1169 and 10.7620 Å, with angles of 90.00, 90.00 and 120.00 degrees. Symmetry generates all atoms from Al at (0.3333, 0.6667, 0.0024), Sb at (0.0000, 0.0000, 0.0000) and Sb at (0.1689, 0.3379, 0.2500).

As for the formation energy (no corrections): 0.461 eV/atom. The energy comes out at -42.4 eV/cell.


Here is a relaxed structure of Al4Sb from Alexandria. Energies are from PBE.

The space group is I4/m (No. 87) and the conventional cell measures 6.943, 6.943 and 3.983 Å, with angles of 90.00, 90.00 and 90.00 degrees. Symmetry generates all atoms from Al at (0.098, 0.315, 0.000) and Sb at (0.000, 0.000, 0.500).

As for the formation energy (no corrections): 0.167 eV/atom. The energy comes out at -36.5 eV/cell.


Here is a relaxed structure of AlSb2 from Alexandria. Energies are from PBE.

The space group is P4/mmm (No. 123) and the conventional cell measures 4.563, 4.563 and 3.936 Å, with angles of 90.00, 90.00 and 90.00 degrees. Symmetry generates all atoms from Al at (0.000, 0.000, 0.000) and Sb at (0.000, 0.500, 0.500).

As for the formation energy (no corrections): 0.199 eV/atom. The energy comes out at -11.4 eV/cell.


Here is a relaxed structure of AlSb5 from Alexandria. Energies are from PBE.

The space group is Amm2 (No. 38) and the conventional cell measures 6.119, 4.291 and 12.826 Å, with angles of 90.00, 90.00 and 90.00 degrees. Symmetry generates all atoms from Al at (0.000, 0.000, 0.000), Sb at (0.000, 0.000, 0.347), Sb at (0.000, 0.000, 0.653), Sb at (0.500, 0.000, 0.000), Sb at (0.500, 0.000, 0.333) and Sb at (0.500, 0.000, 0.668).

As for the formation energy (no corrections): 0.082 eV/atom. The energy comes out at -47.7 eV/cell.


Here is a relaxed structure of AlSb2 from Alexandria. Energies are from PBE.

The space group is P-1 (No. 2) and the conventional cell measures 3.200, 6.682 and 8.404 Å, with angles of 77.45, 89.89 and 76.35 degrees. Symmetry generates all atoms from Al at (0.049, 0.403, 0.324), Sb at (0.155, 0.192, 0.643) and Sb at (0.386, 0.728, 0.909).

As for the formation energy (no corrections): 0.061 eV/atom. The energy comes out at -23.6 eV/cell.


Here is a relaxed structure of AlSb2 from Alexandria. Energies are from PBE.

The space group is Cm (No. 8) and the conventional cell measures 8.262, 10.018 and 4.338 Å, with angles of 90.00, 108.18 and 90.00 degrees. Symmetry generates all atoms from Al at (0.000, 0.235, 0.000), Sb at (0.190, 0.000, 0.066), Sb at (0.311, 0.350, 0.380) and Sb at (0.438, 0.000, 0.722).

As for the formation energy (no corrections): 0.034 eV/atom. The energy comes out at -47.5 eV/cell.


Here is a relaxed structure of AlSb2 from Alexandria. Energies are from PBE.

The space group is P-1 (No. 2) and the conventional cell measures 4.470, 6.360 and 6.533 Å, with angles of 71.40, 79.93 and 75.73 degrees. Symmetry generates all atoms from Al at (0.070, 0.241, 0.329), Sb at (0.221, 0.642, 0.072) and Sb at (0.440, 0.818, 0.376).

As for the formation energy (no corrections): 0.036 eV/atom. The energy comes out at -23.8 eV/cell.